The following is a PBE calculation of a geometry-optimized TcPb2Cl structure, from Alexandria via LeMat-Bulk.

Calculated values
Total moment (μB/f.u.): 2.4
E_form (uncorrected) (kJ/mol of formula units): 211

abc: 7.0616 7.0616 7.0616
angles: 146.56 146.56 48.01
With the nearest neighbours (Å) after each atom.
Fractional coordinates of all 4 atoms:
Tc (0.5000, 0.5000, 0.0000)  4 Pb 2.87
Pb (0.2500, 0.7500, 0.5000)  4 Cl 2.87
Pb (0.0000, 0.0000, 0.0000)  4 Tc 2.87
Cl (0.7500, 0.2500, 0.5000)  4 Pb 2.87

---

The following is a PBE calculation of a geometry-optimized TiTc2PbCl structure, from Alexandria via LeMat-Bulk.

Calculated values
Total moment (μB/f.u.): 3.9
E_form (uncorrected) (kJ/mol of formula units): 547

abc: 4.6225 5.7103 4.6225
angles: 90.00 90.00 90.00
With the nearest neighbours (Å) after each atom.
Fractional coordinates of all 5 atoms:
Tc (0.5000, 0.0000, 0.0000)  2 Ti 2.31
Tc (0.0000, 0.0000, 0.5000)  2 Ti 2.31
Cl (0.5000, 0.5000, 0.5000)  4 Pb 3.27
Pb (0.0000, 0.5000, 0.0000)  2 Ti 2.86
Ti (0.0000, 0.0000, 0.0000)  4 Tc 2.31

---

Volume, record by record: 26.62 24.40 Å³ per atom